A plane-wave DFT calculation with GGA-PBEsol was carried out for a relaxed structure of BaSi2Pb.

The calculation puts the uncorrected formation energy at 0.00 eV/f.u.

abc: 3.648 3.648 7.458
angles: 90.00 90.00 90.00
Sites, in units of the cell vectors:
Ba 0.000 0.000 0.465
Si 0.000 0.000 0.050
Si 0.500 0.500 0.172
Pb 0.500 0.500 0.813

---

A plane-wave DFT calculation with GGA-PBEsol was carried out for a relaxed structure of BaSi2Pb.

The calculation puts the uncorrected formation energy at 0.78 eV/f.u.

abc: 4.596 4.596 5.809
angles: 113.30 113.30 90.00
Sites, in units of the cell vectors:
Si 0.000 0.000 0.000
Ba 0.500 0.500 0.000
Pb 0.250 0.750 0.500
Si 0.750 0.250 0.500

---

A plane-wave DFT calculation with GGA-PBEsol was carried out for a relaxed structure of BaSi2Pb.

The calculation puts the uncorrected formation energy at 0.71 eV/f.u.

abc: 4.740 4.740 5.661
angles: 114.75 114.75 90.00
Sites, in units of the cell vectors:
Si 0.250 0.750 0.500
Ba 0.500 0.500 0.000
Si 0.750 0.250 0.500
Pb 0.000 0.000 0.000

---

A plane-wave DFT calculation with GGA-PBEsol was carried out for a relaxed structure of BaSn3Pb.

The calculation puts the formation energy from the elements at 0.9617 eV per atom.

abc: 5.990 5.990 5.990
angles: 90.00 90.00 90.00
Sites, in units of the cell vectors:
Ba 0.000 0.000 0.000
Pb 0.500 0.500 0.500
Sn 0.000 0.000 0.500
Sn 0.000 0.500 0.000
Sn 0.500 0.000 0.000

---

Size of the total moment
In order: 0.00 0.00 0.00 0.00
Unit: μB/cell
DFT total energy
In order: -0.1620 -0.1549 -0.1556 -0.1038
Unit: Ha/atom